Record 1
Below is crystalline Pr8TcNi3I4 at its relaxed geometry, with properties calculated at the GGA-PBE level.

Cell lengths 8.3100, 9.5169, 8.3076 Å; angles 115.86, 120.01, 90.00 degrees
Atoms (fractional coordinates):
Pr  0.2282  0.6879  0.9597
Pr  0.2276  0.6877  0.4552
Pr  0.2734  0.3199  0.5467
Pr  0.7315  0.6879  0.9597
Pr  0.2685  0.3121  0.0403
Pr  0.7266  0.6801  0.4533
Pr  0.7724  0.3123  0.5448
Pr  0.7718  0.3121  0.0403
Tc  0.0000  0.5000  0.0000
Ni  0.5000  0.5000  0.0000
Ni  0.5000  0.5000  0.5000
Ni  0.0000  0.5000  0.5000
I  0.5000  0.0000  0.0000
I  0.5000  0.0000  0.5000
I  0.0000  0.0000  0.0000
I  0.0000  0.0000  0.5000

Properties
Its density of states at the Fermi level is 0.422 states/eV per atom. The uncorrected formation energy comes out at -613 meV/atom.

***

Record 2
Below is crystalline TbDy2Ho7 at its relaxed geometry, with properties calculated at the GGA-PBE level.

Cell lengths 6.1010, 7.8695, 7.8791 Å; angles 90.03, 104.99, 121.09 degrees
Atoms (fractional coordinates):
Tb  0.0000  0.0000  0.0000
Dy  0.4999  0.7000  0.6000
Dy  0.5001  0.3000  0.4000
Ho  0.9999  0.7999  0.4000
Ho  0.0001  0.2001  0.6000
Ho  0.0000  0.5998  0.7999
Ho  0.0000  0.4002  0.2001
Ho  0.5000  0.9000  0.2000
Ho  0.5000  0.1000  0.8000
Ho  0.5000  0.5000  0.0000

Properties
Its density of states at the Fermi level is 1.262 states/eV per atom. The calculation puts the energy above the lowest structure with this stoichiometry at 0.000 eV/atom. For the formation energy, the calculation gives 0.0179 eV/atom.

***

Record 3
Below is crystalline CeSmPuZn at its relaxed geometry, with properties calculated at the GGA-PBE level.

Cell lengths 5.1607, 5.1607, 5.1607 Å; angles 60.00, 60.00, 60.00 degrees
Site moments in Bohr magnetons follow the coordinates.
Atoms (fractional coordinates):
Zn  0.0000  0.0000  0.0000  -0.01
Ce  0.5000  0.5000  0.5000  1.08
Sm  0.2500  0.2500  0.2500  0.20
Pu  0.7500  0.7500  0.7500  5.54

Properties
Its density of states at the Fermi level is 2.181 states/eV per atom. For the formation energy, the calculation gives 0.0728 eV/atom.

***

Record 4
Below is crystalline PuZrZn at its relaxed geometry, with properties calculated at the GGA-PBE level.

Cell lengths 3.0735, 3.0735, 7.1148 Å; angles 102.47, 102.47, 90.00 degrees
Site moments in Bohr magnetons follow the coordinates.
Atoms (fractional coordinates):
Zn  0.6600  0.6600  0.3201  0.00
Zr  0.0133  0.0133  0.0266  -0.23
Pu  0.3267  0.3267  0.6533  5.25

Properties
Its density of states at the Fermi level is 2.145 states/eV per atom. The calculation puts the energy above the lowest structure with this stoichiometry at 0.000 eV/atom. For the formation energy, the calculation gives -0.0311 eV/atom.

***

Record 5
Below is crystalline LiZnCo2Pb at its relaxed geometry, with properties calculated at the GGA-PBE level.

Cell lengths 4.4749, 4.3484, 4.4749 Å; angles 90.00, 90.00, 90.00 degrees
Site moments in Bohr magnetons follow the coordinates.
Atoms (fractional coordinates):
Pb  0.5000  0.5000  0.5000  -0.04
Zn  0.0000  0.0000  0.0000  -0.07
Co  0.0000  0.0000  0.5000  1.41
Co  0.5000  0.0000  0.0000  1.27
Li  0.0000  0.5000  0.0000  -0.02

Properties
Its density of states at the Fermi level is 1.036 states/eV per atom. For the formation energy, the calculation gives 0.6129 eV/atom.

***

Record 6
Below is crystalline BaSr2Zn at its relaxed geometry, with properties calculated at the GGA-PBE level.

Cell lengths 7.7116, 7.7116, 7.7116 Å; angles 148.74, 131.29, 59.02 degrees
Atoms (fractional coordinates):
Sr  0.9416  0.9416  0.0000
Sr  0.5584  0.5584  0.0000
Zn  0.7500  0.2500  0.5000
Ba  0.2500  0.7500  0.5000

Properties
Its density of states at the Fermi level is 0.946 states/eV per atom. For the formation energy, the calculation gives -0.0617 eV/atom.

***

Record 7
Below is crystalline Mn2ZnIn at its relaxed geometry, with properties calculated at the GGA-PBE level.

Cell lengths 2.8741, 3.7028, 5.7399 Å; angles 90.00, 90.00, 90.00 degrees
Site moments in Bohr magnetons follow the coordinates.
Atoms (fractional coordinates):
In  0.5000  0.5000  0.7500  -0.13
Mn  0.0000  0.0000  0.0217  2.87
Mn  0.0000  0.0000  0.4783  2.87
Zn  0.5000  0.5000  0.2500  -0.08

Properties
Its density of states at the Fermi level is 0.643 states/eV per atom. For the formation energy, the calculation gives 0.1555 eV/atom.

***

Record 8
Below is crystalline Mn2Ni15Ir2 at its relaxed geometry, with properties calculated at the GGA-PBE level.

Cell lengths 6.2176, 6.2176, 6.2176 Å; angles 81.71, 81.71, 81.71 degrees
Site moments in Bohr magnetons follow the coordinates.
Atoms (fractional coordinates):
Mn  0.6487  0.6487  0.6487  3.94
Mn  0.3513  0.3513  0.3513  3.94
Ni  0.0000  0.5000  0.0000  0.58
Ni  0.0000  0.0000  0.5000  0.58
Ni  0.5000  0.0000  0.0000  0.58
Ni  0.3132  0.0000  0.6868  0.62
Ni  0.6868  0.3132  0.0000  0.62
Ni  0.0000  0.6868  0.3132  0.62
Ni  0.3132  0.6868  0.0000  0.62
Ni  0.0000  0.3132  0.6868  0.62
Ni  0.6868  0.0000  0.3132  0.62
Ni  0.3468  0.8358  0.3468  0.71
Ni  0.3468  0.3468  0.8358  0.71
Ni  0.8358  0.3468  0.3468  0.71
Ni  0.6532  0.1642  0.6532  0.71
Ni  0.6532  0.6532  0.1642  0.71
Ni  0.1642  0.6532  0.6532  0.71
Ir  0.8997  0.8997  0.8997  0.48
Ir  0.1003  0.1003  0.1003  0.48

Properties
Its density of states at the Fermi level is 1.250 states/eV per atom. For the formation energy, the calculation gives 0.1129 eV/atom.

***

Record 9
Below is crystalline LaSmDy2 at its relaxed geometry, with properties calculated at the GGA-PBE level.

Cell lengths 3.6222, 3.6222, 11.8916 Å; angles 81.24, 81.24, 60.00 degrees
Atoms (fractional coordinates):
La  0.5000  0.5000  0.5000
Sm  0.0000  0.0000  0.0000
Dy  0.2511  0.2511  0.2467
Dy  0.7489  0.7489  0.7533

Properties
Its density of states at the Fermi level is 1.235 states/eV per atom. The calculation puts the energy above the lowest structure with this stoichiometry at 0.000 eV/atom. For the formation energy, the calculation gives 0.0150 eV/atom.

***

Record 10
Below is crystalline CeAl8Cu4 at its relaxed geometry, with properties calculated at the GGA-PBE level.

Cell lengths 6.7933, 6.7933, 6.7933 Å; angles 98.16, 98.16, 135.74 degrees
Site moments in Bohr magnetons follow the coordinates.
Atoms (fractional coordinates):
Ce  0.0000  0.0000  0.0000  0.45
Al  0.3481  0.0000  0.3481  0.00
Al  0.0000  0.3481  0.3481  0.00
Al  0.0000  0.6519  0.6519  0.00
Al  0.6519  0.0000  0.6519  0.00
Al  0.2804  0.5000  0.7804  0.00
Al  0.5000  0.2804  0.7804  0.00
Al  0.5000  0.7196  0.2196  0.00
Al  0.7196  0.5000  0.2196  0.00
Cu  0.5000  0.5000  0.5000  0.01
Cu  0.0000  0.5000  0.0000  0.01
Cu  0.5000  0.0000  0.0000  0.01
Cu  0.0000  0.0000  0.5000  0.01

Properties
Its density of states at the Fermi level is 0.545 states/eV per atom. For the formation energy, the calculation gives -0.3089 eV/atom.

***

Record 11
Below is crystalline Tl12Pb7Au at its relaxed geometry, with properties calculated at the GGA-PBE level.

Cell lengths 6.6132, 10.9923, 10.9923 Å; angles 116.08, 101.57, 101.57 degrees
Atoms (fractional coordinates):
Tl  0.0962  0.5946  0.1907
Tl  0.0945  0.1907  0.5961
Tl  0.5637  0.6540  0.0006
Tl  0.4369  0.0006  0.3467
Tl  0.4984  0.4039  0.5946
Tl  0.0903  0.6533  0.6540
Tl  0.9097  0.3467  0.3460
Tl  0.5016  0.5961  0.4054
Tl  0.5631  0.9994  0.6533
Tl  0.4363  0.3460  0.9994
Tl  0.9055  0.8093  0.4039
Tl  0.9038  0.4054  0.8093
Pb  0.1077  0.7539  0.0009
Pb  0.8932  0.0009  0.2469
Pb  0.6462  0.7531  0.7539
Pb  0.5000  0.0000  0.0000
Pb  0.3538  0.2469  0.2461
Pb  0.1068  0.9991  0.7531
Pb  0.8923  0.2461  0.9991
Au  0.0000  0.0000  0.0000

Properties
Its density of states at the Fermi level is 0.553 states/eV per atom. For the formation energy, the calculation gives 0.0770 eV/atom.

***

Record 12
Below is crystalline LiNdDyRh at its relaxed geometry, with properties calculated at the GGA-PBE level.

Cell lengths 5.0190, 5.0190, 5.0190 Å; angles 60.00, 60.00, 60.00 degrees
Atoms (fractional coordinates):
Rh  0.2500  0.2500  0.2500
Li  0.7500  0.7500  0.7500
Nd  0.5000  0.5000  0.5000
Dy  0.0000  0.0000  0.0000

Properties
Its density of states at the Fermi level is 0.737 states/eV per atom. For the formation energy, the calculation gives -0.4089 eV/atom.